The following is a DFT calculation (PBE) of a relaxed structure of CaErAgAu.

Unit cell a=3.628 b=3.628 c=7.313 alpha=90.00 beta=90.00 gamma=90.00
Space group P4mm (No. 99)
Unique sites:
Ca 0.000 0.000 0.000
Er 0.000 0.000 0.486
Ag 0.500 0.500 0.723
Au 0.500 0.500 0.273

Output
DOS(E_F) ... 0.5167 states/eV per atom
Calculated formation energy ... -0.60 eV per atom
Excess energy over the best structure of this formula in the dataset ... 0.0 meV per atom



The following is a DFT calculation (PBE) of a relaxed structure of CaAlIr.

Unit cell a=5.046 b=4.297 c=6.130 alpha=90.00 beta=104.43 gamma=90.00
Space group P2_1/m (No. 11)
Unique sites:
Ca 0.249 0.250 0.418
Al 0.142 0.250 0.924
Ir 0.363 0.750 0.101

Output
DOS(E_F) ... 0.4978 states/eV per atom
Calculated formation energy ... -0.46 eV per atom